Record 1
Here is a relaxed structure of BaLaTe3Au from OQMD via LeMat-Bulk. Energies are from PBE.

The value obtained for the raw total energy is -4.545 eV per atom.

It has space group P2_1/m (No. 11), with a = 8.837 Å, b = 4.594 Å, c = 10.869 Å, α = 90.00°, β = 104.78° and γ = 90.00°. Symmetry generates all atoms from Ba at (0.240, 0.250, 0.296), La at (0.303, 0.750, 0.842), Te at (0.052, 0.250, 0.850), Te at (0.256, 0.750, 0.543), Te at (0.436, 0.750, 0.149) and Au at (0.101, 0.250, 0.608).



Record 2
Here is a relaxed structure of Mg2GaFe from OQMD via LeMat-Bulk. Energies are from PBE.

The value obtained for the raw total energy is -3.477 eV per atom.

It has space group F-43m (No. 216), with a = 6.340 Å, b = 6.340 Å, c = 6.340 Å, α = 90.00°, β = 90.00° and γ = 90.00°. Symmetry generates all atoms from Mg at (0.000, 0.000, 0.000), Mg at (0.250, 0.250, 0.250), Ga at (0.000, 0.000, 0.500) and Fe at (0.250, 0.250, 0.750).



Record 3
Here is a relaxed structure of CsCuPtS3 from OQMD via LeMat-Bulk. Energies are from PBE.

The value obtained for the raw total energy is -4.302 eV per atom.

It has space group Cmcm (No. 63), with a = 3.756 Å, b = 14.979 Å, c = 9.978 Å, α = 90.00°, β = 90.00° and γ = 90.00°. Symmetry generates all atoms from Cs at (0.000, 0.247, 0.250), Cu at (0.000, 0.036, 0.750), Pt at (0.000, 0.500, 0.000), S at (0.000, 0.100, 0.541) and S at (0.000, 0.450, 0.750).



Record 4
Here is a relaxed structure of Nd2ErMg3Ir3 from OQMD via LeMat-Bulk. Energies are from PBE.

The value obtained for the raw total energy is -5.663 eV per atom.

It has space group Amm2 (No. 38), with a = 4.109 Å, b = 12.692 Å, c = 7.353 Å, α = 90.00°, β = 90.00° and γ = 90.00°. Symmetry generates all atoms from Nd at (0.000, 0.206, 0.000), Er at (0.000, 0.000, 0.613), Mg at (0.500, 0.000, 0.963), Mg at (0.500, 0.120, 0.330), Ir at (0.000, 0.000, 0.213) and Ir at (0.500, 0.161, 0.704).



Record 5
Here is a relaxed structure of PrDyCu2 from OQMD via LeMat-Bulk. Energies are from PBE.

As for the energy of formation: -214 meV per atom.

It has space group Pmn2_1 (No. 31), with a = 4.529 Å, b = 7.271 Å, c = 5.490 Å, α = 90.00°, β = 90.00° and γ = 90.00°. Symmetry generates all atoms from Pr at (0.000, 0.072, 0.000), Dy at (0.000, 0.566, 0.235), Cu at (0.000, 0.230, 0.497) and Cu at (0.000, 0.704, 0.748).



Record 6
Here is a relaxed structure of K4GaAu8 from OQMD via LeMat-Bulk. Energies are from PBE.

The value obtained for the raw total energy is -2.933 eV per atom.

It has space group C2/m (No. 12), with a = 21.297 Å, b = 5.780 Å, c = 11.185 Å, α = 90.00°, β = 97.14° and γ = 90.00°. Symmetry generates all atoms from K at (0.015, 0.000, 0.335), K at (0.046, 0.500, 0.843), K at (0.216, 0.000, 0.397), K at (0.224, 0.500, 0.908), Ga at (0.174, 0.000, 0.737), Au at (0.000, 0.000, 0.000), Au at (0.000, 0.500, 0.500), Au at (0.100, 0.500, 0.352), Au at (0.103, 0.250, 0.132), Au at (0.118, 0.262, 0.579), Au at (0.124, 0.000, 0.926) and Au at (0.210, 0.500, 0.232).